[1]
TbVSn2: optimized geometry, GGA-PBE.

a b c (Å): 5.7616 5.7616 5.7616
angles (deg): 47.39 47.39 47.39
Positions (direct):
Tb (0.0000, 0.0000, 0.0000)
V (0.5000, 0.5000, 0.5000)
Sn (0.2300, 0.2300, 0.2300)
Sn (0.7700, 0.7700, 0.7700)

- DFT total energy (eV/atom) = -5.65
- SG = R-3m (166)
- total magnetization (Bohr magnetons per cell) = 2.1
- ρ (g/cm³) = 7.84


[2]
TbVSn: optimized geometry, GGA-PBE.

a b c (Å): 4.4475 4.4475 7.7403
angles (deg): 102.59 102.59 83.06
Positions (direct):
Tb (0.0866, 0.0866, 0.2420)
Tb (0.9134, 0.9134, 0.7580)
V (0.3604, 0.3604, 0.0080)
V (0.6396, 0.6396, 0.9920)
Sn (0.3739, 0.3739, 0.6419)
Sn (0.6261, 0.6261, 0.3581)

- DFT total energy (eV/atom) = -5.94
- SG = C2/m (12)
- total magnetization (Bohr magnetons per cell) = 0.0
- ρ (g/cm³) = 7.51


[3]
TbY2Sn: optimized geometry, GGA-PBE.

a b c (Å): 3.7912 3.7912 8.3184
angles (deg): 90.00 90.00 90.00
Positions (direct):
Tb (0.0000, 0.0000, 0.0000)
Y (0.5000, 0.5000, 0.2799)
Y (0.5000, 0.5000, 0.7201)
Sn (0.0000, 0.0000, 0.5000)

- DFT total energy (eV/atom) = -5.70
- SG = P4/mmm (123)
- total magnetization (Bohr magnetons per cell) = 0.0
- ρ (g/cm³) = 6.33


[4]
TbYSn: optimized geometry, GGA-PBE.

a b c (Å): 5.1397 5.1397 8.9116
angles (deg): 106.67 106.67 60.02
Positions (direct):
Tb (0.1254, 0.1254, 0.3761)
Tb (0.8746, 0.8746, 0.6239)
Y (0.3754, 0.3754, 0.1255)
Y (0.6246, 0.6246, 0.8745)
Sn (0.2503, 0.2503, 0.7514)
Sn (0.7497, 0.7497, 0.2486)

- DFT total energy (eV/atom) = -5.46
- SG = C2/m (12)
- total magnetization (Bohr magnetons per cell) = 0.0
- ρ (g/cm³) = 6.33


[5]
TbYSn: optimized geometry, GGA-PBE.

a b c (Å): 5.1106 5.1106 3.8808
angles (deg): 90.00 90.00 120.00
Positions (direct):
Tb (0.0000, 0.0000, 0.0000)
Y (0.3333, 0.6667, 0.4496)
Sn (0.6667, 0.3333, 0.7204)

- DFT total energy (eV/atom) = -5.40
- SG = P3m1 (156)
- total magnetization (Bohr magnetons per cell) = 0.0
- ρ (g/cm³) = 6.93


[6]
TbYSn6: optimized geometry, GGA-PBE.

a b c (Å): 4.6997 4.6997 9.5401
angles (deg): 90.00 90.00 90.00
Positions (direct):
Tb (0.0000, 0.0000, 0.0000)
Y (0.0000, 0.0000, 0.5000)
Sn (0.0000, 0.5000, 0.2500)
Sn (0.0000, 0.5000, 0.7500)
Sn (0.5000, 0.0000, 0.2500)
Sn (0.5000, 0.0000, 0.7500)
Sn (0.5000, 0.5000, 0.0000)
Sn (0.5000, 0.5000, 0.5000)

- DFT total energy (eV/atom) = -4.82
- SG = P4/mmm (123)
- total magnetization (Bohr magnetons per cell) = 0.0
- ρ (g/cm³) = 7.57


[7]
TbYSn2: optimized geometry, GGA-PBE.

a b c (Å): 8.9969 8.9969 8.9969
angles (deg): 25.31 25.31 25.31
Positions (direct):
Tb (0.0000, 0.0000, 0.0000)
Y (0.5000, 0.5000, 0.5000)
Sn (0.2498, 0.2498, 0.2498)
Sn (0.7502, 0.7502, 0.7502)

- DFT total energy (eV/atom) = -5.32
- SG = R-3m (166)
- total magnetization (Bohr magnetons per cell) = 0.0
- ρ (g/cm³) = 6.88


[8]
Tb2Y2Sn7: optimized geometry, GGA-PBE.

a b c (Å): 7.1257 7.1257 6.9899
angles (deg): 90.03 90.03 80.62
Positions (direct):
Tb (0.2222, 0.2222, 0.0009)
Tb (0.7778, 0.7778, 0.9991)
Y (0.3109, 0.6891, 0.5000)
Y (0.6891, 0.3109, 0.5000)
Sn (0.9996, 0.9996, 0.2943)
Sn (0.0004, 0.0004, 0.7057)
Sn (0.0007, 0.4992, 0.7080)
Sn (0.4992, 0.0007, 0.7080)
Sn (0.5000, 0.5000, 0.0000)
Sn (0.5008, 0.9993, 0.2920)
Sn (0.9993, 0.5008, 0.2920)

- DFT total energy (eV/atom) = -4.75
- SG = C2/m (12)
- total magnetization (Bohr magnetons per cell) = 0.0
- ρ (g/cm³) = 6.29